1.
Compound: Rb5Tl2Te5
Source: the Alexandria database
Functional: GGA-PBE
Structure: optimized geometry

Values from the calculation:
Energy above the lowest structure with this stoichiometry in eV per atom: 0.0283
Formation energy (no corrections) in eV per atom: -0.6848

```
Rb5Tl2Te5
1.0
5.8674 0.2589 -0.6337
-2.3542 8.7699 -0.1511
-1.7296 -0.5431 11.3877
Te Rb Tl
5 5 2
Cartesian
0.0000 0.0000 0.0000 Te
-0.6564 1.9236 6.7633 Te
2.4400 6.5620 3.8396 Te
0.1293 6.8960 8.4976 Te
1.6543 1.5896 2.1053 Te
-0.5504 4.2206 3.8142 Rb
2.0689 -0.1421 5.3770 Rb
2.3341 4.2650 6.7887 Rb
0.7417 6.9837 0.5683 Rb
1.0419 1.5019 10.0346 Rb
4.7698 0.8252 2.9368 Tl
-2.9862 7.6604 7.6662 Tl
```


2.
Compound: Rb2TlTe
Source: the Alexandria database
Functional: GGA-PBE
Structure: optimized geometry

Values from the calculation:
Energy above the lowest structure with this stoichiometry in eV per atom: 0.1354
Formation energy (no corrections) in eV per atom: -0.2855

```
Rb2TlTe
1.0
-1.1912 -4.4108 -3.3303
-0.2009 -3.3700 4.5352
-12.6139 -1.5731 1.7963
Rb Tl Te
4 2 2
Cartesian
-3.4567 -3.1572 2.7870 Rb
-3.8944 -3.4650 -0.9852 Rb
-9.9874 -4.1789 1.9084 Rb
-10.6738 -7.9068 2.2922 Rb
-7.2506 -4.9372 -0.4658 Tl
0.0000 0.0000 0.0000 Tl
-6.7555 -4.4167 3.4670 Te
-0.6961 -3.8904 0.6024 Te
```


3.
Compound: RbTlTe2
Source: the Alexandria database
Functional: GGA-PBE
Structure: optimized geometry

Values from the calculation:
Formation energy (no corrections) in eV per atom: -0.3903

```
RbTlTe2
1.0
-4.1838 -3.0624 -0.0059
1.5614 -2.1417 4.4511
-2.6315 3.5900 2.6504
Te Rb Tl
2 1 1
Cartesian
0.7807 -1.0708 2.2256 Te
-1.3158 1.7950 1.3252 Te
-2.0919 -1.5312 -0.0030 Rb
-2.6270 -0.8071 3.5478 Tl
```


4.
Compound: RbTl2Te2
Source: the Alexandria database
Functional: GGA-PBE
Structure: optimized geometry

Values from the calculation:
Energy above the lowest structure with this stoichiometry in eV per atom: 0.0000
Formation energy (no corrections) in eV per atom: -0.4719

```
RbTl2Te2
1.0
-1.2426 0.1590 -5.5066
7.1729 -0.6920 -1.6386
-5.5105 -9.4071 0.9719
Te Tl Rb
4 4 2
Cartesian
2.4073 -6.0654 -2.1663 Te
-0.7624 -8.9815 -4.4310 Te
-1.9875 -3.8747 -4.0071 Te
1.1822 -0.9586 -1.7424 Te
-0.9361 -5.6611 -1.4001 Tl
0.8260 -8.6333 -1.8836 Tl
-0.4062 -1.3068 -4.2898 Tl
1.3560 -4.2790 -4.7733 Tl
4.4336 -2.5821 -2.5230 Rb
-4.0138 -7.3580 -3.6504 Rb
```


5.
Compound: RbTl3Te3
Source: the Alexandria database
Functional: GGA-PBE
Structure: optimized geometry

Values from the calculation:
Energy above the lowest structure with this stoichiometry in eV per atom: 0.0000
Formation energy (no corrections) in eV per atom: -0.3646

```
RbTl3Te3
1.0
-6.3327 -3.0315 6.2869
1.4910 -8.0373 4.6901
2.2559 0.4745 9.5648
Te Tl Rb
6 6 2
Cartesian
-0.9890 -1.6909 10.1655 Te
-1.5968 -8.9034 10.3763 Te
-0.1895 -5.1741 6.8247 Te
-2.3962 -5.4202 13.7171 Te
2.1967 -5.8856 11.0357 Te
-4.7825 -4.7087 9.5061 Te
-0.0993 -7.3873 12.6903 Tl
-3.9461 -7.0463 11.5150 Tl
1.3603 -3.5479 9.0268 Tl
-2.4865 -3.2069 7.8515 Tl
0.7910 -7.5351 8.7557 Tl
-3.3768 -3.0591 11.7861 Tl
-1.6126 -3.6883 3.6609 Rb
-0.9731 -6.9060 16.8809 Rb
```


6.
Compound: RbTlTe2
Source: the Alexandria database
Functional: GGA-PBE
Structure: optimized geometry

Values from the calculation:
Formation energy (no corrections) in eV per atom: -0.4884

```
RbTlTe2
1.0
-6.7548 -1.2713 -5.0416
3.7336 -6.9383 -3.2529
-3.6446 -6.9272 -0.5764
Te Rb Tl
4 2 2
Cartesian
1.0764 -6.1334 -2.4354 Te
-5.1015 -12.8908 -7.9300 Te
-5.1646 -3.4874 -4.0737 Te
-4.1419 -7.7621 -3.3027 Te
-1.5106 -4.1048 -4.1472 Rb
-0.7108 -8.9852 -3.9883 Rb
0.0000 0.0000 0.0000 Tl
-5.9550 -6.1516 -4.8826 Tl
```


7.
Compound: RbTl4Te4
Source: the Alexandria database
Functional: GGA-PBE
Structure: optimized geometry

Values from the calculation:
Formation energy (no corrections) in eV per atom: -0.3197

```
RbTl4Te4
1.0
6.3935 0.0000 0.0000
0.0000 11.0204 0.0000
0.0000 0.0000 11.0204
Te Tl Rb
8 8 2
Cartesian
2.6650 3.7222 2.2053 Te
3.7285 2.2053 7.2982 Te
2.6650 7.2982 8.8151 Te
3.7285 8.8151 3.7222 Te
5.8617 3.3049 9.2324 Te
0.5318 1.7880 3.3049 Te
0.5318 9.2324 7.7155 Te
5.8617 7.7155 1.7880 Te
3.8470 1.2492 4.0829 Tl
2.5465 4.0829 9.7712 Tl
0.6502 9.5931 4.2610 Tl
5.7433 6.7594 9.5931 Tl
3.8470 9.7712 6.9375 Tl
2.5465 6.9375 1.2492 Tl
0.6502 1.4273 6.7594 Tl
5.7433 4.2610 1.4273 Tl
0.0000 0.0000 0.0000 Rb
3.1967 5.5102 5.5102 Rb
```


8.
Compound: RbTl2Te2
Source: the Alexandria database
Functional: GGA-PBE
Structure: optimized geometry

Values from the calculation:
Energy above the lowest structure with this stoichiometry in eV per atom: 0.0718
Formation energy (no corrections) in eV per atom: -0.4001

```
RbTl2Te2
1.0
10.0261 0.0000 0.0000
0.0000 10.0261 0.0000
0.0000 0.0000 3.7765
Te Rb Tl
4 2 4
Cartesian
8.2784 6.7607 0.0000 Te
1.7477 3.2654 0.0000 Te
6.7607 1.7477 0.0000 Te
3.2654 8.2784 0.0000 Te
0.0000 0.0000 0.0000 Rb
5.0130 5.0130 0.0000 Rb
3.7908 1.2222 1.8882 Tl
8.8038 3.7908 1.8882 Tl
1.2222 6.2353 1.8882 Tl
6.2353 8.8038 1.8882 Tl
```


9.
Compound: Rb3TlTe3
Source: the Alexandria database
Functional: GGA-PBE
Structure: optimized geometry

Values from the calculation:
Energy above the lowest structure with this stoichiometry in eV per atom: 0.0113
Formation energy (no corrections) in eV per atom: -0.7691

```
Rb3TlTe3
1.0
9.1700 0.2552 -0.0077
-3.8568 8.3234 -0.0077
-0.8086 -1.3055 8.7050
Te Rb Tl
6 6 2
Cartesian
4.6089 7.4415 1.6321 Te
-0.1043 -0.1685 7.0575 Te
-0.6185 3.5066 2.4605 Te
3.4149 1.0085 2.4605 Te
5.1230 3.7665 6.2291 Te
1.0897 6.2645 6.2291 Te
1.5871 2.5625 5.6270 Rb
-0.8637 6.4696 -0.0077 Rb
2.9175 4.7106 3.0625 Rb
6.1769 2.1090 -0.0077 Rb
-2.0290 6.2882 4.3448 Rb
6.5336 0.9849 4.3448 Rb
0.8603 1.3891 1.2950 Tl
3.6443 5.8840 7.3945 Tl
```


10.
Compound: Rb2TlTe
Source: the Alexandria database
Functional: GGA-PBE
Structure: optimized geometry

Values from the calculation:
Energy above the lowest structure with this stoichiometry in eV per atom: 0.0000
Formation energy (no corrections) in eV per atom: -0.4210

```
Rb2TlTe
1.0
-4.2113 -2.4054 -3.9183
-5.8655 2.1135 0.0461
-2.1234 3.4074 -4.7702
Rb Te Tl
2 1 1
Cartesian
-9.1502 2.3366 -6.4817 Rb
-3.0501 0.7789 -2.1606 Rb
0.0000 0.0000 0.0000 Te
-6.1001 1.5577 -4.3212 Tl
```


11.
Compound: RbTlTe2
Source: the Alexandria database
Functional: GGA-PBE
Structure: optimized geometry

Values from the calculation:
Formation energy (no corrections) in eV per atom: -0.3691

```
RbTlTe2
1.0
-3.6127 0.6088 0.2129
-0.3011 -0.5209 -3.6202
-1.6182 -10.1614 1.5966
Te Tl Rb
2 1 1
Cartesian
-0.3905 -2.4524 0.3853 Te
-1.2277 -7.7090 1.2113 Te
-1.9569 0.0440 -1.7036 Tl
-2.7660 -5.0367 -0.9053 Rb
```


12.
Compound: RbTl12Te6
Source: the Alexandria database
Functional: GGA-PBE
Structure: optimized geometry

Values from the calculation:
Formation energy (no corrections) in eV per atom: -0.2642

```
RbTl12Te6
1.0
9.5046 0.0550 0.0775
-2.3027 9.2216 0.0775
-2.3027 -2.9661 8.7319
Tl Te Rb
12 6 1
Cartesian
-0.2816 2.7922 3.9322 Tl
-2.1273 1.9842 7.7982 Tl
2.7748 0.4194 3.9322 Tl
2.7748 3.5742 1.6919 Tl
7.0265 4.3264 1.0887 Tl
5.1807 3.5183 4.9548 Tl
2.1243 5.8911 4.9548 Tl
-2.1273 6.7085 4.4435 Tl
2.4496 -1.5691 7.7982 Tl
7.0265 -0.3980 4.4435 Tl
2.1243 2.7363 7.1950 Tl
2.4496 7.8796 1.0887 Tl
4.6716 0.3060 6.4804 Te
0.2275 0.2930 6.4622 Te
4.6716 6.0175 2.4247 Te
-0.8616 4.6017 6.4804 Te
5.7607 1.7088 2.4065 Te
0.2275 6.0045 2.4065 Te
0.0000 0.0000 0.0000 Rb
```


Which value of formation energy (no corrections) does entry 2 give?
-0.2855 eV per atom


Which of these has the highest formation energy (no corrections)?
RbTl12Te6


What is the formula in the first record?
Rb5Tl2Te5


Look up the formation energy (no corrections) of the eleventh one.
-0.3691 eV per atom